## PrSm2Lu (PBE)

Data for a relaxed PrSm2Lu crystal.

Cell: 3.607 3.607 10.222 Å, 90.00 90.00 90.00°
Fractional positions:
1 Sm 0.000 0.000 0.242
2 Sm 0.000 0.000 0.758
3 Lu 0.500 0.500 0.000
4 Pr 0.500 0.500 0.500

## Properties
relative energy among the computed polymorphs = 9.3 meV/atom
crystal system = tetragonal
total DFT energy (no corrections) = -18.63 eV/cell
formation enthalpy at 0 K = 0.03 eV/atom

=====

## PrSmLu (PBE)

Data for a relaxed PrSmLu crystal.

Cell: 3.506 5.701 5.701 Å, 120.00 90.00 90.00°
Fractional positions:
1 Pr 0.667 0.667 0.333
2 Sm 0.166 0.000 0.000
3 Lu 0.168 0.333 0.667

## Properties
relative energy among the computed polymorphs = 42.9 meV/atom
crystal system = hexagonal
total DFT energy (no corrections) = -13.79 eV/cell
formation enthalpy at 0 K = 0.08 eV/atom

=====

## PrSmLu (PBE)

Data for a relaxed PrSmLu crystal.

Cell: 3.614 3.614 8.027 Å, 103.01 103.01 90.00°
Fractional positions:
1 Sm 0.330 0.330 0.660
2 Lu 0.668 0.668 0.336
3 Pr 0.002 0.002 0.004

## Properties
relative energy among the computed polymorphs = 0.0 meV/atom
crystal system = tetragonal
total DFT energy (no corrections) = -13.92 eV/cell
formation enthalpy at 0 K = 0.03 eV/atom

=====

## PrSm2Lu (PBE)

Data for a relaxed PrSm2Lu crystal.

Cell: 5.126 5.084 5.084 Å, 90.00 90.00 90.00°
Fractional positions:
1 Pr 0.500 0.000 0.000
2 Sm 0.000 0.000 0.500
3 Sm 0.000 0.500 0.000
4 Lu 0.500 0.500 0.500

## Properties
relative energy among the computed polymorphs = 0.0 meV/atom
crystal system = tetragonal
total DFT energy (no corrections) = -18.67 eV/cell
formation enthalpy at 0 K = 0.02 eV/atom